<w>
! Sr3LiAu | Alexandria via LeMat-Bulk | GGA-PBE | optimized geometry; values from VASP
&SYSTEM
  ibrav = 0, nat = 10, ntyp = 3
/
ATOMIC_SPECIES
Sr 87.62 Sr.upf
Li 6.94 Li.upf
Au 196.97 Au.upf
ATOMIC_POSITIONS crystal
Sr 0.864 0.379 0.812
Sr 0.864 0.009 0.681
Sr 0.863 0.629 0.062
Sr 0.363 0.013 0.065
Sr 0.863 0.760 0.431
Sr 0.363 0.376 0.428
Li 0.363 0.694 0.746
Li 0.863 0.194 0.247
Au 0.363 0.694 0.246
Au 0.364 0.194 0.746
CELL_PARAMETERS angstrom
4.468 -0.001 -0.001
0.002 10.059 -0.029
0.003 3.469 9.447
! Total magnetic moment ... 0.00 μB per formula unit
! Crystal system ... orthorhombic
! Space-group type ... No. 65

***

<x>
! Sr3LiAu | Alexandria via LeMat-Bulk | GGA-PBE | optimized geometry; values from VASP
&SYSTEM
  ibrav = 0, nat = 5, ntyp = 3
/
ATOMIC_SPECIES
Sr 87.62 Sr.upf
Au 196.97 Au.upf
Li 6.94 Li.upf
ATOMIC_POSITIONS crystal
Sr 0.000 0.500 0.000
Sr 0.000 0.000 0.500
Sr 0.500 0.000 0.000
Au 0.000 0.000 0.000
Li 0.500 0.500 0.500
CELL_PARAMETERS angstrom
6.114 0.000 0.000
0.000 6.114 0.000
0.000 0.000 6.114
! Total magnetic moment ... 0.00 μB per formula unit
! Crystal system ... cubic
! Space-group type ... No. 221

***

<y>
! Sr3LiAu | Alexandria via LeMat-Bulk | GGA-PBE | optimized geometry; values from VASP
&SYSTEM
  ibrav = 0, nat = 10, ntyp = 3
/
ATOMIC_SPECIES
Sr 87.62 Sr.upf
Li 6.94 Li.upf
Au 196.97 Au.upf
ATOMIC_POSITIONS crystal
Sr 0.248 0.044 0.327
Sr 0.752 0.956 0.673
Sr 0.248 0.456 0.327
Sr 0.752 0.544 0.673
Sr 0.744 0.250 0.997
Sr 0.256 0.750 0.003
Li 0.250 0.250 0.656
Li 0.750 0.750 0.344
Au 0.749 0.250 0.481
Au 0.251 0.750 0.519
CELL_PARAMETERS angstrom
4.281 0.000 -0.028
0.000 9.487 0.000
0.019 0.000 9.567
! Total magnetic moment ... 0.00 μB per formula unit
! Crystal system ... monoclinic
! Space-group type ... No. 11

***

Verdict on stability: <y> comes out on top.

***

<w>
! Sr4LiAu | Alexandria via LeMat-Bulk | GGA-PBE | optimized geometry; values from VASP
&SYSTEM
  ibrav = 0, nat = 12, ntyp = 3
/
ATOMIC_SPECIES
Sr 87.62 Sr.upf
Li 6.94 Li.upf
Au 196.97 Au.upf
ATOMIC_POSITIONS crystal
Sr 0.018 0.221 0.868
Sr 0.798 0.712 0.655
Sr 0.350 0.647 0.868
Sr 0.357 0.943 0.655
Sr 0.643 0.057 0.345
Sr 0.650 0.353 0.132
Sr 0.202 0.288 0.345
Sr 0.982 0.779 0.132
Li 0.383 0.633 0.266
Li 0.617 0.367 0.734
Au 0.249 0.999 0.999
Au 0.751 0.001 0.001
CELL_PARAMETERS angstrom
-5.348 -3.823 3.176
7.601 -3.800 3.494
-1.277 8.792 2.408
! Total magnetic moment ... 0.00 μB per formula unit
! Crystal system ... monoclinic
! Space-group type ... No. 15

***

<x>
! Sr4LiAu | Alexandria via LeMat-Bulk | GGA-PBE | optimized geometry; values from VASP
&SYSTEM
  ibrav = 0, nat = 6, ntyp = 3
/
ATOMIC_SPECIES
Sr 87.62 Sr.upf
Li 6.94 Li.upf
Au 196.97 Au.upf
ATOMIC_POSITIONS crystal
Sr 0.875 0.375 0.375
Sr 0.375 0.375 0.875
Sr 0.375 0.875 0.375
Sr 0.375 0.375 0.375
Li 0.000 0.000 0.000
Au 0.750 0.750 0.750
CELL_PARAMETERS angstrom
0.000 5.241 5.241
5.241 0.000 5.241
5.241 5.241 0.000
! Total magnetic moment ... 0.00 μB per formula unit
! Crystal system ... cubic
! Space-group type ... No. 216

***

Verdict on stability: <w> comes out on top.

***

<w>
! SrLiTlAu | Alexandria via LeMat-Bulk | GGA-PBE | optimized geometry; values from VASP
&SYSTEM
  ibrav = 0, nat = 4, ntyp = 4
/
ATOMIC_SPECIES
Sr 87.62 Sr.upf
Tl 204.38 Tl.upf
Au 196.97 Au.upf
Li 6.94 Li.upf
ATOMIC_POSITIONS crystal
Sr 0.250 0.250 0.250
Tl 0.750 0.750 0.750
Au 0.000 0.000 0.000
Li 0.500 0.500 0.500
CELL_PARAMETERS angstrom
-1.796 3.291 3.561
-4.704 -0.701 2.030
-0.494 -1.526 4.916
! Total magnetic moment ... 0.00 μB per formula unit
! Crystal system ... cubic
! Space-group type ... No. 216

***

<x>
! SrLiTlAu | Alexandria via LeMat-Bulk | GGA-PBE | optimized geometry; values from VASP
&SYSTEM
  ibrav = 0, nat = 4, ntyp = 4
/
ATOMIC_SPECIES
Sr 87.62 Sr.upf
Li 6.94 Li.upf
Tl 204.38 Tl.upf
Au 196.97 Au.upf
ATOMIC_POSITIONS crystal
Sr 0.623 0.246 0.512
Li 0.095 0.190 0.927
Tl 0.830 0.660 0.132
Au 0.418 0.836 0.896
CELL_PARAMETERS angstrom
4.720 0.000 0.000
-2.360 4.073 -0.008
0.000 -2.720 5.567
! Total magnetic moment ... 0.00 μB per formula unit
! Crystal system ... monoclinic
! Space-group type ... No. 8

***

Verdict on stability: <x> comes out on top.

***

<w>
! SrLiZnAu | Alexandria via LeMat-Bulk | GGA-PBE | optimized geometry; values from VASP
&SYSTEM
  ibrav = 0, nat = 4, ntyp = 4
/
ATOMIC_SPECIES
Sr 87.62 Sr.upf
Zn 65.41 Zn.upf
Au 196.97 Au.upf
Li 6.94 Li.upf
ATOMIC_POSITIONS crystal
Sr 0.750 0.750 0.750
Zn 0.000 0.000 0.000
Au 0.500 0.500 0.500
Li 0.250 0.250 0.250
CELL_PARAMETERS angstrom
5.139 0.000 0.000
2.569 4.450 0.000
2.569 1.483 4.196
! Total magnetic moment ... 0.00 μB per formula unit
! Crystal system ... cubic
! Space-group type ... No. 216

***

<x>
! SrLiZnAu | Alexandria via LeMat-Bulk | GGA-PBE | optimized geometry; values from VASP
&SYSTEM
  ibrav = 0, nat = 4, ntyp = 4
/
ATOMIC_SPECIES
Sr 87.62 Sr.upf
Li 6.94 Li.upf
Zn 65.41 Zn.upf
Au 196.97 Au.upf
ATOMIC_POSITIONS crystal
Sr 0.624 0.248 0.515
Li 0.814 0.628 0.084
Zn 0.104 0.208 0.955
Au 0.424 0.848 0.914
CELL_PARAMETERS angstrom
4.585 0.000 0.000
-2.293 3.953 -0.013
0.000 -2.645 5.367
! Total magnetic moment ... 0.00 μB per formula unit
! Crystal system ... monoclinic
! Space-group type ... No. 8

***

Verdict on stability: <x> comes out on top.

***

<w>
! LiTa2Au | Alexandria via LeMat-Bulk | GGA-PBE | optimized geometry; values from VASP
&SYSTEM
  ibrav = 0, nat = 4, ntyp = 3
/
ATOMIC_SPECIES
Au 196.97 Au.upf
Li 6.94 Li.upf
Ta 180.95 Ta.upf
ATOMIC_POSITIONS crystal
Au 0.500 0.500 0.000
Li 0.750 0.250 0.500
Ta 0.000 0.000 0.000
Ta 0.250 0.750 0.500
CELL_PARAMETERS angstrom
-0.556 -4.846 1.291
2.805 -1.150 4.034
-3.293 3.703 -0.954
! Total magnetic moment ... 0.63 μB per formula unit
! Crystal system ... tetragonal
! Space-group type ... No. 119

***

<x>
! LiTa2Au | Alexandria via LeMat-Bulk | GGA-PBE | optimized geometry; values from VASP
&SYSTEM
  ibrav = 0, nat = 4, ntyp = 3
/
ATOMIC_SPECIES
Li 6.94 Li.upf
Au 196.97 Au.upf
Ta 180.95 Ta.upf
ATOMIC_POSITIONS crystal
Li 0.000 0.000 0.000
Au 0.500 0.500 0.500
Ta 0.250 0.250 0.250
Ta 0.750 0.750 0.750
CELL_PARAMETERS angstrom
0.000 3.244 3.244
3.244 0.000 3.244
3.244 3.244 0.000
! Total magnetic moment ... 0.00 μB per formula unit
! Crystal system ... cubic
! Space-group type ... No. 225

***

Verdict on stability: <w> comes out on top.

***

<w>
! LiTaAu4 | Alexandria via LeMat-Bulk | GGA-PBE | optimized geometry; values from VASP
&SYSTEM
  ibrav = 0, nat = 6, ntyp = 3
/
ATOMIC_SPECIES
Li 6.94 Li.upf
Ta 180.95 Ta.upf
Au 196.97 Au.upf
ATOMIC_POSITIONS crystal
Li 0.500 0.500 0.500
Ta 0.000 0.000 0.000
Au 0.000 0.999 0.658
Au 0.500 0.500 0.834
Au 0.500 0.500 0.166
Au 0.000 0.001 0.342
CELL_PARAMETERS angstrom
-0.915 -3.517 1.779
2.209 0.348 1.826
-5.328 4.236 5.634
! Total magnetic moment ... 0.00 μB per formula unit
! Crystal system ... orthorhombic
! Space-group type ... No. 47

***

<x>
! LiTaAu4 | Alexandria via LeMat-Bulk | GGA-PBE | optimized geometry; values from VASP
&SYSTEM
  ibrav = 0, nat = 6, ntyp = 3
/
ATOMIC_SPECIES
Li 6.94 Li.upf
Ta 180.95 Ta.upf
Au 196.97 Au.upf
ATOMIC_POSITIONS crystal
Li 0.750 0.750 0.750
Ta 0.000 0.000 0.000
Au 0.875 0.375 0.375
Au 0.375 0.375 0.875
Au 0.375 0.875 0.375
Au 0.375 0.375 0.375
CELL_PARAMETERS angstrom
-2.559 -2.788 -3.882
-4.856 1.642 -1.765
-0.507 2.111 -4.968
! Total magnetic moment ... 0.00 μB per formula unit
! Crystal system ... cubic
! Space-group type ... No. 216

***

Verdict on stability: <w> comes out on top.

***

<w>
! LiTbAu4 | Alexandria via LeMat-Bulk | GGA-PBE | optimized geometry; values from VASP
&SYSTEM
  ibrav = 0, nat = 6, ntyp = 3
/
ATOMIC_SPECIES
Li 6.94 Li.upf
Tb 158.93 Tb.upf
Au 196.97 Au.upf
ATOMIC_POSITIONS crystal
Li 0.001 0.502 0.496
Tb 0.501 0.002 0.495
Au 0.501 0.664 0.171
Au 0.501 0.340 0.819
Au 0.001 0.173 0.154
Au 0.001 0.831 0.837
CELL_PARAMETERS angstrom
5.124 -0.068 0.043
0.046 4.502 2.569
-0.039 0.043 5.156
! Total magnetic moment ... 0.00 μB per formula unit
! Crystal system ... orthorhombic
! Space-group type ... No. 65

***

<x>
! LiTbAu4 | Alexandria via LeMat-Bulk | GGA-PBE | optimized geometry; values from VASP
&SYSTEM
  ibrav = 0, nat = 6, ntyp = 3
/
ATOMIC_SPECIES
Tb 158.93 Tb.upf
Au 196.97 Au.upf
Li 6.94 Li.upf
ATOMIC_POSITIONS crystal
Tb 0.000 0.000 0.000
Au 0.624 0.624 0.127
Au 0.624 0.127 0.624
Au 0.624 0.624 0.624
Au 0.127 0.624 0.624
Li 0.250 0.250 0.250
CELL_PARAMETERS angstrom
-0.561 5.518 0.311
-4.174 2.207 2.926
1.045 2.633 4.778
! Total magnetic moment ... 0.00 μB per formula unit
! Crystal system ... cubic
! Space-group type ... No. 216

***

<y>
! LiTbAu4 | Alexandria via LeMat-Bulk | GGA-PBE | optimized geometry; values from VASP
&SYSTEM
  ibrav = 0, nat = 6, ntyp = 3
/
ATOMIC_SPECIES
Li 6.94 Li.upf
Tb 158.93 Tb.upf
Au 196.97 Au.upf
ATOMIC_POSITIONS crystal
Li 0.001 0.997 0.498
Tb 0.502 0.498 0.998
Au 0.501 0.998 0.283
Au 0.501 0.997 0.713
Au 0.001 0.497 0.713
Au 0.002 0.497 0.283
CELL_PARAMETERS angstrom
-0.914 -4.180 0.471
4.298 -0.114 0.223
-0.351 0.884 7.114
! Total magnetic moment ... 0.00 μB per formula unit
! Crystal system ... orthorhombic
! Space-group type ... No. 65

***

Verdict on stability: <w> comes out on top.

***

<w>
! LiTb2Au2 | Alexandria via LeMat-Bulk | GGA-PBE | optimized geometry; values from VASP
&SYSTEM
  ibrav = 0, nat = 10, ntyp = 3
/
ATOMIC_SPECIES
Li 6.94 Li.upf
Tb 158.93 Tb.upf
Au 196.97 Au.upf
ATOMIC_POSITIONS crystal
Li 0.750 0.500 0.000
Li 0.250 0.500 0.000
Tb 0.839 0.678 0.677
Tb 0.161 0.322 0.323
Tb 0.661 0.001 0.323
Tb 0.339 0.999 0.677
Au 0.403 0.680 0.806
Au 0.597 0.320 0.194
Au 0.097 0.873 0.194
Au 0.903 0.127 0.806
CELL_PARAMETERS angstrom
-0.775 -5.304 2.008
5.965 0.835 4.505
-6.000 4.295 0.870
! Total magnetic moment ... 0.00 μB per formula unit
! Crystal system ... orthorhombic
! Space-group type ... No. 72

***

<x>
! LiTb2Au2 | Alexandria via LeMat-Bulk | GGA-PBE | optimized geometry; values from VASP
&SYSTEM
  ibrav = 0, nat = 10, ntyp = 3
/
ATOMIC_SPECIES
Li 6.94 Li.upf
Tb 158.93 Tb.upf
Au 196.97 Au.upf
ATOMIC_POSITIONS crystal
Li 0.000 0.000 0.000
Li 0.000 0.500 0.500
Tb 0.500 0.161 0.661
Tb 0.500 0.661 0.839
Tb 0.500 0.839 0.339
Tb 0.500 0.339 0.161
Au 0.000 0.363 0.863
Au 0.000 0.863 0.637
Au 0.000 0.637 0.137
Au 0.000 0.137 0.363
CELL_PARAMETERS angstrom
-2.142 -2.366 -1.964
6.276 -4.889 -0.956
-1.959 -3.836 6.757
! Total magnetic moment ... 0.00 μB per formula unit
! Crystal system ... tetragonal
! Space-group type ... No. 127

***

Verdict on stability: <x> comes out on top.